VASP calculation (PBE) on a geometry-optimized ScTlRe2W structure.

Cell: 4.555 4.555 5.020 Å, 90.00 90.00 90.00°
Element x y z (fractional)
Sc1 0.000 0.000 0.000
Tl1 0.000 0.000 0.500
Re1 0.000 0.500 0.000
Re2 0.500 0.000 0.000
W1 0.500 0.500 0.500

Summary:
**Formation energy**: 2.59 eV per atom

VASP calculation (PBE) on a geometry-optimized Y2ScTlRe structure.

Cell: 5.597 5.597 5.248 Å, 90.00 90.00 90.00°
Element x y z (fractional)
Y1 0.000 0.500 0.000
Y2 0.500 0.000 0.000
Sc1 0.000 0.000 0.500
Tl1 0.000 0.000 0.000
Re1 0.500 0.500 0.500

Summary:
**Formation energy**: 1.36 eV per atom

Which value of formation energy does entry 2 give?
1.36 eV per atom

Look up the formation energy of the second one.
1.36 eV per atom

Which of these has the highest formation energy?
ScTlRe2W